Entry 1:
# K2SrCr | Alexandria via LeMat-Bulk | PBE | optimized geometry
data_K2SrCr
_cell_length_a 5.190
_cell_length_b 5.190
_cell_length_c 28.557
_cell_angle_alpha 90.00
_cell_angle_beta 90.00
_cell_angle_gamma 90.00
_space_group_name_H-M_alt 'I -4 2 d'
_space_group_IT_number 122
_space_group_name_Hall 'I -4 2bw'
loop_
_atom_site_label
_atom_site_type_symbol
_atom_site_fract_x
_atom_site_fract_y
_atom_site_fract_z
K1 K 0.227 0.250 0.125
Sr1 Sr 0.000 0.000 0.500
Cr1 Cr 0.000 0.000 0.000
# energy	-2.665	eV/atom
# distance to the lowest polymorph of the same formula	0.70	eV per formula unit
# formation energy	0.710	eV per atom
# DOS(E_F)	10.644	states/eV/cell
# total magnetization	5.3	μB/f.u.

=====

Entry 2:
# InCuTc2 | Alexandria via LeMat-Bulk | PBE | optimized geometry
data_InCuTc2
_cell_length_a 2.892
_cell_length_b 3.893
_cell_length_c 5.681
_cell_angle_alpha 90.00
_cell_angle_beta 90.00
_cell_angle_gamma 90.00
_space_group_name_H-M_alt 'P m m m'
_space_group_IT_number 47
_space_group_name_Hall '-P 2 2'
loop_
_atom_site_label
_atom_site_type_symbol
_atom_site_fract_x
_atom_site_fract_y
_atom_site_fract_z
In1 In 0.000 0.000 0.000
Cu1 Cu 0.000 0.000 0.500
Tc1 Tc 0.500 0.500 0.297
# energy	-6.515	eV/atom
# formation energy	0.376	eV per atom
# DOS(E_F)	3.877	states/eV/cell
# total magnetization	0.0	μB/f.u.

=====

Entry 3:
# Li4Mg2Cd3 | Alexandria via LeMat-Bulk | PBE | optimized geometry
data_Li4Mg2Cd3
_cell_length_a 13.745
_cell_length_b 3.965
_cell_length_c 6.880
_cell_angle_alpha 90.00
_cell_angle_beta 110.74
_cell_angle_gamma 90.00
_space_group_name_H-M_alt 'C 1 2/m 1'
_space_group_IT_number 12
_space_group_name_Hall '-C 2y'
loop_
_atom_site_label
_atom_site_type_symbol
_atom_site_fract_x
_atom_site_fract_y
_atom_site_fract_z
Li1 Li 0.050 0.000 0.335
Li2 Li 0.226 0.500 0.343
Mg1 Mg 0.163 0.000 0.005
Cd1 Cd 0.000 0.500 0.000
Cd2 Cd 0.116 0.500 0.656
# energy	-1.689	eV/atom
# distance to the lowest polymorph of the same formula	0.05	eV per formula unit
# formation energy	-0.179	eV per atom
# DOS(E_F)	5.049	states/eV/cell
# total magnetization	0.0	μB/f.u.

=====

Entry 4:
# Sc2TaAu | Alexandria via LeMat-Bulk | PBE | optimized geometry
data_Sc2TaAu
_cell_length_a 3.330
_cell_length_b 4.956
_cell_length_c 9.624
_cell_angle_alpha 90.00
_cell_angle_beta 90.00
_cell_angle_gamma 90.00
_space_group_name_H-M_alt 'I m m m'
_space_group_IT_number 71
_space_group_name_Hall '-I 2 2'
loop_
_atom_site_label
_atom_site_type_symbol
_atom_site_fract_x
_atom_site_fract_y
_atom_site_fract_z
Sc1 Sc 0.000 0.000 0.237
Ta1 Ta 0.000 0.500 0.000
Au1 Au 0.000 0.500 0.500
# energy	-6.994	eV/atom
# distance to the lowest polymorph of the same formula	1.01	eV per formula unit
# formation energy	-0.045	eV per atom
# DOS(E_F)	12.247	states/eV/cell
# total magnetization	0.0	μB/f.u.

=====

Entry 5:
# AcTbSc | Alexandria via LeMat-Bulk | PBE | optimized geometry
data_AcTbSc
_cell_length_a 3.712
_cell_length_b 3.712
_cell_length_c 14.508
_cell_angle_alpha 90.00
_cell_angle_beta 90.00
_cell_angle_gamma 90.00
_space_group_name_H-M_alt 'I 4 m m'
_space_group_IT_number 107
_space_group_name_Hall 'I 4 -2'
loop_
_atom_site_label
_atom_site_type_symbol
_atom_site_fract_x
_atom_site_fract_y
_atom_site_fract_z
Ac1 Ac 0.000 0.000 0.000
Tb1 Tb 0.000 0.000 0.315
Sc1 Sc 0.000 0.000 0.667
# energy	-4.916	eV/atom
# distance to the lowest polymorph of the same formula	0.00	eV per formula unit
# formation energy	0.107	eV per atom
# DOS(E_F)	9.268	states/eV/cell
# total magnetization	0.0	μB/f.u.

=====

Entry 6:
# Tb2Pr5DyTh | Alexandria via LeMat-Bulk | PBE | optimized geometry
data_Tb2Pr5DyTh
_cell_length_a 5.456
_cell_length_b 21.907
_cell_length_c 10.658
_cell_angle_alpha 90.00
_cell_angle_beta 90.00
_cell_angle_gamma 90.00
_space_group_name_H-M_alt 'C m c m'
_space_group_IT_number 63
_space_group_name_Hall '-C 2c 2'
loop_
_atom_site_label
_atom_site_type_symbol
_atom_site_fract_x
_atom_site_fract_y
_atom_site_fract_z
Tb1 Tb 0.000 0.113 0.006
Pr1 Pr 0.000 0.002 0.750
Pr2 Pr 0.000 0.278 0.558
Pr3 Pr 0.000 0.373 0.250
Pr4 Pr 0.000 0.500 0.000
Dy1 Dy 0.000 0.398 0.750
Th1 Th 0.000 0.213 0.250
# energy	-4.881	eV/atom
# formation energy	0.139	eV per atom
# DOS(E_F)	50.512	states/eV/cell
# total magnetization	0.0	μB/f.u.

=====

Entry 7:
# Tm3TiCo8 | Alexandria via LeMat-Bulk | PBE | optimized geometry
data_Tm3TiCo8
_cell_length_a 4.9459
_cell_length_b 4.9459
_cell_length_c 24.2506
_cell_angle_alpha 90.00
_cell_angle_beta 90.00
_cell_angle_gamma 120.00
_space_group_name_H-M_alt 'R 3 m'
_space_group_IT_number 160
_space_group_name_Hall 'R 3 -2"'
loop_
_atom_site_label
_atom_site_type_symbol
_atom_site_fract_x
_atom_site_fract_y
_atom_site_fract_z
Tm1 Tm 0.0000 0.0000 0.0000
Tm2 Tm 0.0000 0.0000 0.1266
Tm3 Tm 0.0000 0.0000 0.6219
Ti1 Ti 0.0000 0.0000 0.4988
Co1 Co 0.0000 0.0000 0.3124
Co2 Co 0.0000 0.0000 0.8128
Co3 Co 0.0038 0.5019 0.0648
Co4 Co 0.1682 0.3364 0.8932
# energy	-6.760	eV/atom
# formation energy	-0.247	eV per atom
# DOS(E_F)	44.315	states/eV/cell
# total magnetization	6.6	μB/f.u.

=====

Entry 8:
# ZnCoPt4 | Alexandria via LeMat-Bulk | PBE | optimized geometry
data_ZnCoPt4
_cell_length_a 7.822
_cell_length_b 4.558
_cell_length_c 5.551
_cell_angle_alpha 90.00
_cell_angle_beta 111.49
_cell_angle_gamma 90.00
_space_group_name_H-M_alt 'C 1 2/m 1'
_space_group_IT_number 12
_space_group_name_Hall '-C 2y'
loop_
_atom_site_label
_atom_site_type_symbol
_atom_site_fract_x
_atom_site_fract_y
_atom_site_fract_z
Zn1 Zn 0.000 0.000 0.000
Co1 Co 0.000 0.000 0.500
Pt1 Pt 0.192 0.500 0.591
Pt2 Pt 0.199 0.500 0.099
# energy	-5.524	eV/atom
# distance to the lowest polymorph of the same formula	0.94	eV per formula unit
# formation energy	-0.100	eV per atom
# DOS(E_F)	13.444	states/eV/cell
# total magnetization	2.8	μB/f.u.

=====

Entry 9:
# AsPPd2 | Alexandria via LeMat-Bulk | PBE | optimized geometry
data_AsPPd2
_cell_length_a 6.293
_cell_length_b 6.293
_cell_length_c 6.293
_cell_angle_alpha 90.00
_cell_angle_beta 90.00
_cell_angle_gamma 90.00
_space_group_name_H-M_alt 'F m -3 m'
_space_group_IT_number 225
_space_group_name_Hall '-F 4 2 3'
loop_
_atom_site_label
_atom_site_type_symbol
_atom_site_fract_x
_atom_site_fract_y
_atom_site_fract_z
As1 As 0.000 0.000 0.000
P1 P 0.000 0.000 0.500
Pd1 Pd 0.250 0.250 0.250
# energy	-5.227	eV/atom
# distance to the lowest polymorph of the same formula	0.28	eV per formula unit
# formation energy	-0.116	eV per atom
# DOS(E_F)	8.711	states/eV/cell
# total magnetization	0.0	μB/f.u.

=====

Entry 10:
# Y6Er3Tm | Alexandria via LeMat-Bulk | PBE | optimized geometry
data_Y6Er3Tm
_cell_length_a 10.935
_cell_length_b 18.893
_cell_length_c 6.215
_cell_angle_alpha 90.00
_cell_angle_beta 90.00
_cell_angle_gamma 90.00
_space_group_name_H-M_alt 'C m c 21'
_space_group_IT_number 36
_space_group_name_Hall 'C 2c -2'
loop_
_atom_site_label
_atom_site_type_symbol
_atom_site_fract_x
_atom_site_fract_y
_atom_site_fract_z
Y1 Y 0.000 0.048 0.000
Y2 Y 0.000 0.280 0.260
Y3 Y 0.164 0.455 0.375
Y4 Y 0.245 0.291 0.557
Er1 Er 0.000 0.390 0.841
Er2 Er 0.170 0.109 0.459
Tm1 Tm 0.000 0.207 0.763
# energy	-5.549	eV/atom
# distance to the lowest polymorph of the same formula	0.27	eV per formula unit
# formation energy	0.145	eV per atom
# DOS(E_F)	60.871	states/eV/cell
# total magnetization	0.0	μB/f.u.

=====

Entry 11:
# TlCo2Re | Alexandria via LeMat-Bulk | PBE | optimized geometry
data_TlCo2Re
_cell_length_a 6.164
_cell_length_b 6.164
_cell_length_c 6.164
_cell_angle_alpha 90.00
_cell_angle_beta 90.00
_cell_angle_gamma 90.00
_space_group_name_H-M_alt 'F -4 3 m'
_space_group_IT_number 216
_space_group_name_Hall 'F -4 2 3'
loop_
_atom_site_label
_atom_site_type_symbol
_atom_site_fract_x
_atom_site_fract_y
_atom_site_fract_z
Tl1 Tl 0.000 0.000 0.000
Co1 Co 0.000 0.000 0.500
Co2 Co 0.250 0.250 0.250
Re1 Re 0.250 0.250 0.750
# energy	-6.390	eV/atom
# distance to the lowest polymorph of the same formula	1.92	eV per formula unit
# formation energy	0.866	eV per atom
# DOS(E_F)	10.410	states/eV/cell
# total magnetization	0.2	μB/f.u.

=====

Entry 12:
# InGaAu2O6 | Alexandria via LeMat-Bulk | PBE | optimized geometry
data_InGaAu2O6
_cell_length_a 12.140
_cell_length_b 7.360
_cell_length_c 5.819
_cell_angle_alpha 90.00
_cell_angle_beta 105.56
_cell_angle_gamma 90.00
_space_group_name_H-M_alt 'C 1 2/c 1'
_space_group_IT_number 15
_space_group_name_Hall '-C 2yc'
loop_
_atom_site_label
_atom_site_type_symbol
_atom_site_fract_x
_atom_site_fract_y
_atom_site_fract_z
In1 In 0.000 0.152 0.250
Ga1 Ga 0.000 0.389 0.750
Au1 Au 0.247 0.135 0.754
O1 O 0.077 0.184 0.634
O2 O 0.084 0.417 0.121
O3 O 0.181 0.116 0.244
# energy	-5.022	eV/atom
# energy relative to the elements, uncorrected	-0.815	eV per atom
# total magnetization	0.0	μB/f.u.

=====

Which value of energy does entry 2 give? -6.515 eV/atom

=====

What is the total magnetization in the fourth record? 0.0 μB/f.u.

=====

Look up the energy of the tenth one. -5.549 eV/atom